## PrAl3Au3 (GGA-PBE)

Data for an optimized crystal structure of PrAl3Au3.

Computed properties:
- excess energy over the best structure of this formula in the dataset (kJ/mol of formula units) = 0
- energy relative to the elements (eV per atom) = -0.512
- energy (Ha/atom) = -0.15448

Cell: 7.442 4.549 9.043 Å, 90.00 108.59 90.00°
Space group P2_1/m (No. 11)
Unique sites:
Pr1 0.204 0.250 0.278 x2
Al1 0.126 0.250 0.903 x2
Al2 0.231 0.750 0.746 x2
Al3 0.462 0.250 0.713 x2
Au1 0.042 0.250 0.606 x2
Au2 0.230 0.750 0.039 x2
Au3 0.387 0.750 0.538 x2

## AgH (GGA-PBE)

Data for an optimized crystal structure of AgH.

Computed properties:
- excess energy over the best structure of this formula in the dataset (kJ/mol of formula units) = 12
- energy (Ha/atom) = -0.10422

Cell: 5.279 5.360 7.215 Å, 90.00 90.00 90.00°
Space group P2_12_12_1 (No. 19)
Unique sites:
Ag1 0.138 0.133 0.076 x4
Ag2 0.142 0.396 0.724 x4
H1 0.207 0.046 0.758 x4
H2 0.220 0.541 0.482 x4

## LiErInGe (GGA-PBE)

Data for an optimized crystal structure of LiErInGe.

Computed properties:
- energy relative to the elements (eV per atom) = -0.347
- energy (Ha/atom) = -0.13985

Cell: 7.031 7.031 7.031 Å, 90.00 90.00 90.00°
Space group F-43m (No. 216)
Unique sites:
Li1 0.000 0.000 0.000 x4
Er1 0.000 0.000 0.500 x4
In1 0.250 0.250 0.750 x4
Ge1 0.250 0.250 0.250 x4

Q: Which value of energy does entry 2 give?
A: -0.10422 Ha/atom